# 1
! TlRe2BiI | Alexandria | PBE-GGA | relaxed; values from VASP
! **Total magnetic moment**: 8.12 μB/cell
! **Uncorrected formation energy**: 12.294 eV/f.u.
! **Crystal system**: tetragonal
&SYSTEM
  ibrav = 0, nat = 5, ntyp = 4
/
ATOMIC_SPECIES
I 126.90 I.upf
Re 186.21 Re.upf
Tl 204.38 Tl.upf
Bi 208.98 Bi.upf
ATOMIC_POSITIONS angstrom
I 0.398 -4.035 -2.626
Re -0.091 -2.495 1.037
Re -1.755 -0.734 -1.921
Tl 0.000 0.000 0.000
Bi 2.244 -0.805 -1.741
CELL_PARAMETERS angstrom
-3.509 -1.469 -3.842
4.487 -1.611 -3.483
-0.182 -4.990 2.074



# 2
! Nd3Tm4Ga4 | Alexandria | PBE-GGA | relaxed; values from VASP
! **Total magnetic moment**: 0.00 μB/cell
! **Formation enthalpy at 0 K**: -0.392 eV per atom
! **Crystal system**: orthorhombic
&SYSTEM
  ibrav = 0, nat = 11, ntyp = 3
/
ATOMIC_SPECIES
Nd 144.24 Nd.upf
Tm 168.93 Tm.upf
Ga 69.72 Ga.upf
ATOMIC_POSITIONS angstrom
Nd -0.707 -1.481 0.601
Nd -1.320 -7.452 -1.601
Nd 2.649 -2.004 -1.824
Tm -3.253 -3.606 2.586
Tm -1.026 -3.622 -2.035
Tm 1.227 -5.327 -3.586
Tm -1.001 -5.310 1.035
Ga 1.336 -4.756 -0.707
Ga -3.362 -4.176 -0.294
Ga 2.925 -3.401 -4.938
Ga -0.472 -0.830 -2.599
CELL_PARAMETERS angstrom
-2.845 -0.221 -3.889
5.298 -4.009 -3.648
-4.479 -4.702 6.537



# 3
! HoTlBr | Alexandria | PBE-GGA | relaxed; values from VASP
! **Total magnetic moment**: 0.00 μB/cell
! **Uncorrected formation energy**: -2.642 eV/f.u.
! **Polymorph energy (0 for the lowest one)**: 0.000 eV per atom
! **Crystal system**: triclinic
&SYSTEM
  ibrav = 0, nat = 6, ntyp = 3
/
ATOMIC_SPECIES
Ho 164.93 Ho.upf
Tl 204.38 Tl.upf
Br 79.90 Br.upf
ATOMIC_POSITIONS angstrom
Ho -1.459 4.501 11.967
Ho 0.948 2.112 3.951
Tl 2.671 4.471 2.633
Tl 2.411 2.110 0.672
Br -0.646 2.113 6.247
Br 0.135 4.499 9.672
CELL_PARAMETERS angstrom
3.733 0.000 -0.497
-0.001 4.718 -0.003
-1.860 0.032 12.119



# 4
! CsPu2PaO8 | Alexandria | PBE-GGA | relaxed; values from VASP
! **Total magnetic moment**: 6.00 μB/cell
! **Uncorrected formation energy**: -30.804 eV/f.u.
! **Crystal system**: trigonal
&SYSTEM
  ibrav = 0, nat = 12, ntyp = 4
/
ATOMIC_SPECIES
Cs 132.91 Cs.upf
Pu 244.00 Pu.upf
Pa 231.04 Pa.upf
O 16.00 O.upf
ATOMIC_POSITIONS angstrom
Cs 1.483 3.666 1.306
Pu -0.748 6.022 4.129
Pu -2.301 3.461 -0.728
Pa 0.000 0.000 0.000
O 1.084 6.394 3.213
O -0.496 5.971 6.194
O -2.093 7.530 3.630
O -0.956 1.953 -0.229
O -1.632 5.114 -0.139
O -1.417 4.369 3.539
O -4.133 3.089 0.187
O -2.553 3.512 -2.794
CELL_PARAMETERS angstrom
-3.023 2.952 -4.854
-2.991 -0.801 5.642
2.965 7.332 2.612